Entry from the Alexandria database: a geometry-optimized KCeInSe3 structure (PBE-GGA).

a = 9.247 Å, b = 4.177 Å, c = 10.336 Å
α = 90.00°, β = 101.27°, γ = 90.00°
Sites, in units of the cell vectors:
K1 0.179 0.250 0.218
K2 0.821 0.750 0.782
Ce1 0.354 0.750 0.841
Ce2 0.646 0.250 0.159
In1 0.123 0.250 0.563
In2 0.877 0.750 0.437
Se1 0.125 0.250 0.829
Se2 0.322 0.750 0.557
Se3 0.421 0.750 0.132
Se4 0.579 0.250 0.868
Se5 0.678 0.250 0.443
Se6 0.875 0.750 0.171

Computed properties:
Theoretical density ... 4.5 g/cm3
Symmetry ... P2_1/m
Uncorrected formation energy ... -7.537 eV per formula unit